(1)
Material: ScRePt2
Method: DFT, PBE-GGA
State: relaxed

a = 2.864 Å, b = 3.939 Å, c = 5.844 Å
α = 90.00°, β = 90.00°, γ = 90.00°
Fractional positions:
Sc 0.000 0.000 0.000
Re 0.500 0.500 0.700
Pt 0.000 0.000 0.512
Pt 0.500 0.500 0.230

Calculated values
The formation enthalpy at 0 K comes out at -397 meV per atom.

(2)
Material: NaSi2AsSe6
Method: DFT, PBE-GGA
State: relaxed

a = 9.125 Å, b = 9.125 Å, c = 7.263 Å
α = 109.09°, β = 109.09°, γ = 77.10°
Fractional positions:
Na 0.226 0.774 0.750
Na 0.774 0.226 0.250
Si 0.134 0.334 0.177
Si 0.334 0.134 0.677
Si 0.666 0.866 0.323
Si 0.866 0.666 0.823
As 0.264 0.736 0.250
As 0.736 0.264 0.750
Se 0.121 0.559 0.876
Se 0.131 0.195 0.404
Se 0.195 0.131 0.904
Se 0.308 0.509 0.387
Se 0.441 0.879 0.624
Se 0.491 0.692 0.113
Se 0.509 0.308 0.887
Se 0.559 0.121 0.376
Se 0.692 0.491 0.613
Se 0.805 0.869 0.096
Se 0.869 0.805 0.596
Se 0.879 0.441 0.124

Calculated values
For the raw total energy, the calculation gives -4.154 eV per atom.

(3)
Material: PrSbIr
Method: DFT, PBE-GGA
State: relaxed

a = 7.466 Å, b = 4.625 Å, c = 8.020 Å
α = 90.00°, β = 90.00°, γ = 90.00°
Fractional positions:
Pr 0.015 0.250 0.192
Pr 0.485 0.750 0.692
Pr 0.515 0.250 0.308
Pr 0.985 0.750 0.808
Sb 0.176 0.250 0.586
Sb 0.324 0.750 0.086
Sb 0.676 0.250 0.914
Sb 0.824 0.750 0.414
Ir 0.202 0.750 0.410
Ir 0.298 0.250 0.910
Ir 0.702 0.750 0.090
Ir 0.798 0.250 0.590

Calculated values
For the raw total energy, the calculation gives -6.764 eV per atom.

(4)
Material: PrEr2Cl
Method: DFT, PBE-GGA
State: relaxed

a = 11.345 Å, b = 11.345 Å, c = 11.345 Å
α = 17.44°, β = 17.44°, γ = 17.44°
Fractional positions:
Pr 0.000 0.000 0.000
Er 0.101 0.101 0.101
Er 0.899 0.899 0.899
Cl 0.500 0.500 0.500

Calculated values
For the raw total energy, the calculation gives -4.308 eV per atom.

(5)
Material: PrHgPd
Method: DFT, PBE-GGA
State: relaxed

a = 7.498 Å, b = 4.261 Å, c = 8.914 Å
α = 90.00°, β = 90.00°, γ = 90.00°
Fractional positions:
Pr 0.053 0.250 0.194
Pr 0.447 0.750 0.694
Pr 0.553 0.250 0.306
Pr 0.947 0.750 0.806
Hg 0.144 0.250 0.564
Hg 0.356 0.750 0.064
Hg 0.644 0.250 0.936
Hg 0.856 0.750 0.436
Pd 0.234 0.250 0.875
Pd 0.266 0.750 0.375
Pd 0.734 0.250 0.625
Pd 0.766 0.750 0.125

Calculated values
For the offset from the most stable computed form, the calculation gives 1.0 kJ/mol of atoms. The formation enthalpy at 0 K comes out at -673 meV per atom.

(6)
Material: MnTcPtAu2
Method: DFT, PBE-GGA
State: relaxed

a = 4.990 Å, b = 4.990 Å, c = 4.314 Å
α = 90.00°, β = 90.00°, γ = 90.00°
Fractional positions:
Mn 0.000 0.000 0.000
Tc 0.000 0.000 0.500
Pt 0.500 0.500 0.000
Au 0.000 0.500 0.500
Au 0.500 0.000 0.500

Calculated values
The formation enthalpy at 0 K comes out at 1396 meV per atom.

(7)
Material: AgCSN
Method: DFT, PBE-GGA
State: relaxed

a = 7.224 Å, b = 11.541 Å, c = 4.238 Å
α = 90.00°, β = 90.00°, γ = 90.00°
Fractional positions:
Ag 0.204 0.158 0.000
Ag 0.296 0.658 0.500
Ag 0.704 0.342 0.500
Ag 0.796 0.842 0.000
C 0.168 0.381 0.500
C 0.332 0.881 0.000
C 0.668 0.119 0.000
C 0.832 0.619 0.500
S 0.060 0.254 0.500
S 0.440 0.754 0.000
S 0.560 0.246 0.000
S 0.940 0.746 0.500
N 0.244 0.471 0.500
N 0.256 0.971 0.000
N 0.744 0.029 0.000
N 0.756 0.529 0.500

Calculated values
For the offset from the most stable computed form, the calculation gives 0.0 kJ/mol of atoms.

(8)
Material: CaHg15
Method: DFT, PBE-GGA
State: relaxed

a = 6.749 Å, b = 6.749 Å, c = 10.827 Å
α = 90.00°, β = 90.00°, γ = 120.00°
Fractional positions:
Ca 0.000 0.000 0.000
Hg 0.000 0.000 0.500
Hg 0.007 0.504 0.000
Hg 0.333 0.667 0.262
Hg 0.333 0.667 0.738
Hg 0.335 0.167 0.247
Hg 0.335 0.167 0.753
Hg 0.496 0.504 0.000
Hg 0.496 0.993 0.000
Hg 0.504 0.007 0.500
Hg 0.504 0.496 0.500
Hg 0.833 0.167 0.247
Hg 0.833 0.167 0.753
Hg 0.833 0.665 0.247
Hg 0.833 0.665 0.753
Hg 0.993 0.496 0.500

Calculated values
The formation enthalpy at 0 K comes out at -88 meV per atom.

(9)
Material: TlZnPCl2
Method: DFT, PBE-GGA
State: relaxed

a = 5.420 Å, b = 5.420 Å, c = 5.390 Å
α = 90.00°, β = 90.00°, γ = 90.00°
Fractional positions:
Tl 0.000 0.000 0.000
Zn 0.500 0.500 0.500
P 0.000 0.000 0.500
Cl 0.000 0.500 0.000
Cl 0.500 0.000 0.000

Calculated values
For the offset from the most stable computed form, the calculation gives 53.6 kJ/mol of atoms.

(10)
Material: ScAg2F6
Method: DFT, PBE-GGA
State: relaxed

a = 5.378 Å, b = 6.035 Å, c = 9.564 Å
α = 90.00°, β = 90.00°, γ = 90.00°
Fractional positions:
Sc 0.000 0.000 0.000
Sc 0.500 0.500 0.500
Ag 0.000 0.500 0.192
Ag 0.000 0.500 0.808
Ag 0.500 0.000 0.308
Ag 0.500 0.000 0.692
F 0.162 0.312 0.000
F 0.226 0.877 0.151
F 0.226 0.877 0.849
F 0.274 0.377 0.349
F 0.274 0.377 0.651
F 0.338 0.812 0.500
F 0.662 0.188 0.500
F 0.726 0.623 0.349
F 0.726 0.623 0.651
F 0.774 0.123 0.151
F 0.774 0.123 0.849
F 0.838 0.688 0.000

Calculated values
For the offset from the most stable computed form, the calculation gives 0.0 kJ/mol of atoms.

(11)
Material: CsMg2ScRe
Method: DFT, PBE-GGA
State: relaxed

a = 5.515 Å, b = 5.515 Å, c = 4.937 Å
α = 90.00°, β = 90.00°, γ = 90.00°
Fractional positions:
Cs 0.000 0.000 0.000
Mg 0.000 0.500 0.500
Mg 0.500 0.000 0.500
Sc 0.500 0.500 0.000
Re 0.500 0.500 0.500

Calculated values
The formation enthalpy at 0 K comes out at 577 meV per atom.

(12)
Material: ThCoSi3
Method: DFT, PBE-GGA
State: relaxed

a = 5.581 Å, b = 5.581 Å, c = 5.581 Å
α = 136.07°, β = 136.07°, γ = 63.87°
Fractional positions:
Th 0.000 0.000 0.000
Co 0.659 0.659 0.000
Si 0.258 0.758 0.500
Si 0.419 0.419 0.000
Si 0.758 0.258 0.500

Calculated values
For the raw total energy, the calculation gives -6.860 eV per atom.